## HgPt2Pb (PBE)

Data for an optimized crystal structure of HgPt2Pb.

It has space group P4/mmm (No. 123), with a = 4.755 Å, b = 4.755 Å, c = 3.468 Å, α = 90.00°, β = 90.00° and γ = 90.00°. Symmetry generates all atoms from Hg at (0.000, 0.000, 0.000), Pt at (0.000, 0.500, 0.500) and Pb at (0.500, 0.500, 0.000).

The calculation puts the size of the total moment at 0.0 μB per cell.

***

## HgPt2Pb2 (PBE)

Data for an optimized crystal structure of HgPt2Pb2.

It has space group P4/mbm (No. 127), with a = 7.601 Å, b = 7.601 Å, c = 3.923 Å, α = 90.00°, β = 90.00° and γ = 90.00°. Symmetry generates all atoms from Hg at (0.000, 0.000, 0.000), Pt at (0.137, 0.363, 0.000) and Pb at (0.161, 0.661, 0.500).

The energy relative to the lowest polymorph listed for this composition comes out at 0.017 eV per atom. The calculation puts the size of the total moment at 0.0 μB per cell.

***

## HgPt3Pb (PBE)

Data for an optimized crystal structure of HgPt3Pb.

It has space group Pm-3m (No. 221), with a = 5.059 Å, b = 5.059 Å, c = 5.059 Å, α = 90.00°, β = 90.00° and γ = 90.00°. Symmetry generates all atoms from Hg at (0.000, 0.000, 0.000), Pt at (0.000, 0.000, 0.500) and Pb at (0.500, 0.500, 0.500).

The energy relative to the lowest polymorph listed for this composition comes out at 0.000 eV per atom. The calculation puts the size of the total moment at 0.0 μB per cell.

***

## HgPtPb2 (PBE)

Data for an optimized crystal structure of HgPtPb2.

It has space group R3m (No. 160, hexagonal axes), with a = 4.0021 Å, b = 4.0021 Å, c = 24.2740 Å, α = 90.00°, β = 90.00° and γ = 120.00°. Symmetry generates all atoms from Hg at (0.0000, 0.0000, 0.0000), Pt at (0.0000, 0.0000, 0.8305), Pb at (0.0000, 0.0000, 0.2312) and Pb at (0.0000, 0.0000, 0.4301).

The calculation puts the size of the total moment at 0.0 μB per cell.

***

## HgPt2Pb2 (PBE)

Data for an optimized crystal structure of HgPt2Pb2.

It has space group I4/mmm (No. 139), with a = 3.979 Å, b = 3.979 Å, c = 16.759 Å, α = 90.00°, β = 90.00° and γ = 90.00°. Symmetry generates all atoms from Hg at (0.000, 0.000, 0.000), Pt at (0.000, 0.500, 0.250) and Pb at (0.000, 0.000, 0.369).

The energy relative to the lowest polymorph listed for this composition comes out at 0.000 eV per atom. The calculation puts the size of the total moment at 0.0 μB per cell.

***

## HgPtPb2 (PBE)

Data for an optimized crystal structure of HgPtPb2.

It has space group R-3m (No. 166, hexagonal axes), with a = 3.8685 Å, b = 3.8685 Å, c = 28.6122 Å, α = 90.00°, β = 90.00° and γ = 120.00°. Symmetry generates all atoms from Hg at (0.0000, 0.0000, 0.0000), Pt at (0.0000, 0.0000, 0.5000) and Pb at (0.0000, 0.0000, 0.1072).

The calculation puts the size of the total moment at 0.0 μB per cell.

***

## HgPtPb2 (PBE)

Data for an optimized crystal structure of HgPtPb2.

It has space group R3m (No. 160, hexagonal axes), with a = 3.9646 Å, b = 3.9646 Å, c = 23.8095 Å, α = 90.00°, β = 90.00° and γ = 120.00°. Symmetry generates all atoms from Hg at (0.0000, 0.0000, 0.0000), Pt at (0.0000, 0.0000, 0.7350), Pb at (0.0000, 0.0000, 0.2472) and Pb at (0.0000, 0.0000, 0.4668).

The calculation puts the size of the total moment at 0.0 μB per cell.

***

## Hg4PtPb (PBE)

Data for an optimized crystal structure of Hg4PtPb.

It has space group F-43m (No. 216), with a = 8.269 Å, b = 8.269 Å, c = 8.269 Å, α = 90.00°, β = 90.00° and γ = 90.00°. Symmetry generates all atoms from Hg at (0.124, 0.124, 0.376), Pt at (0.250, 0.250, 0.750) and Pb at (0.000, 0.000, 0.000).

The calculation puts the size of the total moment at 0.0 μB per cell.

***

## HgPt2Pb (PBE)

Data for an optimized crystal structure of HgPt2Pb.

It has space group R3m (No. 160, hexagonal axes), with a = 4.3141 Å, b = 4.3141 Å, c = 17.0065 Å, α = 90.00°, β = 90.00° and γ = 120.00°. Symmetry generates all atoms from Hg at (0.0000, 0.0000, 0.0000), Pt at (0.0000, 0.0000, 0.2573), Pt at (0.0000, 0.0000, 0.5394) and Pb at (0.0000, 0.0000, 0.7897).

The calculation puts the size of the total moment at 0.0 μB per cell.

***

## HgPtPb2 (PBE)

Data for an optimized crystal structure of HgPtPb2.

It has space group P4/mmm (No. 123), with a = 5.045 Å, b = 5.045 Å, c = 3.838 Å, α = 90.00°, β = 90.00° and γ = 90.00°. Symmetry generates all atoms from Hg at (0.000, 0.000, 0.000), Pt at (0.500, 0.500, 0.000) and Pb at (0.000, 0.500, 0.500).

The calculation puts the size of the total moment at 0.0 μB per cell.

***

## HgPt4Pb (PBE)

Data for an optimized crystal structure of HgPt4Pb.

It has space group F-43m (No. 216), with a = 7.713 Å, b = 7.713 Å, c = 7.713 Å, α = 90.00°, β = 90.00° and γ = 90.00°. Symmetry generates all atoms from Hg at (0.000, 0.000, 0.000), Pt at (0.125, 0.125, 0.625) and Pb at (0.250, 0.250, 0.250).

The calculation puts the size of the total moment at 0.0 μB per cell.

***

## HgPtPb2 (PBE)

Data for an optimized crystal structure of HgPtPb2.

It has space group Imm2 (No. 44), with a = 3.422 Å, b = 4.676 Å, c = 13.194 Å, α = 90.00°, β = 90.00° and γ = 90.00°. Symmetry generates all atoms from Hg at (0.000, 0.000, 0.000), Pt at (0.000, 0.500, 0.706), Pb at (0.000, 0.000, 0.381) and Pb at (0.000, 0.500, 0.169).

The calculation puts the size of the total moment at 0.0 μB per cell.

***

## HgPt2Pb (PBE)

Data for an optimized crystal structure of HgPt2Pb.

It has space group P4/mmm (No. 123), with a = 3.624 Å, b = 3.624 Å, c = 6.020 Å, α = 90.00°, β = 90.00° and γ = 90.00°. Symmetry generates all atoms from Hg at (0.000, 0.000, 0.000), Pt at (0.500, 0.500, 0.239) and Pb at (0.000, 0.000, 0.500).

The calculation puts the size of the total moment at 0.0 μB per cell.

***

## ScHgPt2Pb (PBE)

Data for an optimized crystal structure of ScHgPt2Pb.

It has space group P4/mmm (No. 123), with a = 4.931 Å, b = 4.931 Å, c = 5.356 Å, α = 90.00°, β = 90.00° and γ = 90.00°. Symmetry generates all atoms from Sc at (0.000, 0.000, 0.000), Hg at (0.000, 0.000, 0.500), Pt at (0.000, 0.500, 0.000) and Pb at (0.500, 0.500, 0.500).

The calculation puts the size of the total moment at 0.0 μB per cell.

***

| no. | N(E_F) (states/eV/f.u.) | final energy (eV/atom) |
| --- | --- | --- |
| 1 | 2.74 | -3.934 |
| 2 | 2.57 | -4.040 |
| 3 | 6.70 | -3.429 |
| 4 | 1.94 | -3.533 |
| 5 | 1.63 | -4.058 |
| 6 | 1.80 | -3.511 |
| 7 | 2.06 | -3.421 |
| 8 | 1.63 | -1.514 |
| 9 | 2.85 | -3.952 |
| 10 | 2.19 | -3.357 |
| 11 | 6.43 | -4.754 |
| 12 | 1.65 | -3.446 |
| 13 | 1.42 | -3.987 |
| 14 | 2.50 | -4.246 |